The following is a DFT calculation (PBE) of a relaxed NaBr2O6 crystal.

a = 11.2900 Å, b = 9.1994 Å, c = 7.6850 Å
α = 90.00°, β = 121.29°, γ = 90.00°
Last column: nearest neighbours and their distance in Å.
Space group C2/c (No. 15)
Asymmetric unit:
Na 0.0000 0.0894 0.2500 [4 per cell]  6 O 2.44-2.59
Br 0.1924 0.4303 0.2230 [8 per cell]  3 O 1.66-1.70
O 0.1339 0.0684 0.6439 [8 per cell]  1 Br 1.68
O 0.1396 0.4952 0.4920 [8 per cell]  1 Br 1.70
O 0.1434 0.2572 0.1908 [8 per cell]  1 Br 1.66

Results
Total moment   0.00 μB/f.u.
Energy relative to the lowest polymorph listed for this composition   0.010 eV per atom
Total DFT energy (no corrections)   -0.287 Ry per atom